Arrangement i

The following is a DFT calculation (PBE) of an optimized crystal structure of CsNi3Te.

Cell: 4.908 4.908 4.908 Å, 90.00 90.00 90.00°
Positions (direct):
Cs 0.000 0.000 0.000
Ni 0.000 0.500 0.500
Ni 0.500 0.000 0.500
Ni 0.500 0.500 0.000
Te 0.500 0.500 0.500

Space group = Pm-3m (221)
Theoretical density = 6.13 g cm⁻³

Arrangement ii

The following is a DFT calculation (PBE) of an optimized crystal structure of CsNi3Te.

Cell: 4.848 4.848 4.848 Å, 90.00 90.00 90.00°
Positions (direct):
Cs 0.000 0.000 0.000
Ni 0.000 0.000 0.500
Ni 0.000 0.500 0.000
Ni 0.500 0.000 0.000
Te 0.500 0.500 0.500

Space group = Pm-3m (221)
Theoretical density = 6.36 g cm⁻³

Least stable structure among those shown: arrangement ii.